Entry 1:
DFT (PBE) results for a relaxed structure of Cs3KCd8.

Output
Calculated total energy: -0.950 eV/atom
Crystal system: trigonal
Volume: 426.79 Å³/f.u.
N(E_F): 6.95 states/eV/cell
Formation energy: -35.3 meV/atom

Cell: 11.9027 11.9027 11.9027 Å, 32.25 32.25 32.25°
Fractional coordinates of all 12 atoms:
Cs  0.0000  0.0000  0.0000
Cs  0.1256  0.1256  0.1256
Cs  0.5008  0.5008  0.5008
K  0.6245  0.6245  0.6245
Cd  0.0547  0.5636  0.5636
Cd  0.0651  0.0651  0.5658
Cd  0.0651  0.5658  0.0651
Cd  0.3115  0.3115  0.3115
Cd  0.5636  0.0547  0.5636
Cd  0.5636  0.5636  0.0547
Cd  0.5658  0.0651  0.0651
Cd  0.8115  0.8115  0.8115



Entry 2:
DFT (PBE) results for a relaxed structure of TeIr2Au.

Output
Calculated total energy: -5.518 eV/atom
Crystal system: trigonal
Volume: 74.40 Å³/f.u.
Formation energy without anion corrections: 517 meV per atom
N(E_F): 5.02 states/eV/cell
Energy above the most stable polymorph in this dataset: 225 meV per atom

Cell: 10.0176 10.0176 10.0176 Å, 16.93 16.93 16.93°
Fractional coordinates of all 4 atoms:
Te  0.0000  0.0000  0.0000
Ir  0.2553  0.2553  0.2553
Ir  0.5190  0.5190  0.5190
Au  0.7743  0.7743  0.7743